Entry 1:
Here is an optimized crystal structure of Ca2PrScS4 from the Alexandria database. Energies are from PBE-GGA.

The structure belongs to space group P2/m (No. 10); the cell edges are 6.836, 3.943 and 6.947 Å and the angles 90.00°, 109.09° and 90.00°. Symmetry generates all atoms from Ca at (0.000, 0.000, 0.000), Ca at (0.500, 0.500, 0.000), Pr at (0.000, 0.500, 0.500), Sc at (0.500, 0.000, 0.500), S at (0.266, 0.000, 0.750) and S at (0.268, 0.500, 0.261).

The calculation puts the energy relative to the elements, uncorrected at -1.981 eV/atom. Its total energy is -5.9338 eV per atom.

***

Entry 2:
Here is an optimized crystal structure of CaPm4DyS8 from the Alexandria database. Energies are from PBE-GGA.

The structure belongs to space group R3m (No. 160, hexagonal axes); the cell edges are 8.2701, 8.2701 and 20.1103 Å and the angles 90.00°, 90.00° and 120.00°. Symmetry generates all atoms from Ca at (0.0000, 0.0000, 0.0000), Pm at (0.0000, 0.0000, 0.2491), Pm at (0.1691, 0.3382, 0.4574), Dy at (0.0000, 0.0000, 0.6267), S at (0.0000, 0.0000, 0.3824), S at (0.0000, 0.0000, 0.8661), S at (0.0276, 0.5138, 0.3754) and S at (0.1800, 0.3599, 0.2075).

The calculation puts the energy relative to the elements, uncorrected at -1.984 eV/atom. Its total energy is -6.1716 eV per atom.

***

Entry 3:
Here is an optimized crystal structure of LuUTc2 from the Alexandria database. Energies are from PBE-GGA.

The structure belongs to space group P4/mmm (No. 123); the cell edges are 4.747, 4.747 and 3.354 Å and the angles 90.00°, 90.00° and 90.00°. Symmetry generates all atoms from Lu at (0.000, 0.000, 0.000), U at (0.500, 0.500, 0.000) and Tc at (0.000, 0.500, 0.500).

Its formation energy is -0.110 eV/atom. Its polymorph energy (0 for the lowest one) is 10.5 kJ/mol of atoms. Its total energy is -9.2454 eV per atom.

***

Entry 4:
Here is an optimized crystal structure of AlFe2Pb from the Alexandria database. Energies are from PBE-GGA.

The structure belongs to space group R-3m (No. 166, hexagonal axes); the cell edges are 3.0041, 3.0041 and 25.5167 Å and the angles 90.00°, 90.00° and 120.00°. Symmetry generates all atoms from Al at (0.0000, 0.0000, 0.0000), Fe at (0.0000, 0.0000, 0.2570) and Pb at (0.0000, 0.0000, 0.5000).

Its formation energy is 0.463 eV/atom. Its polymorph energy (0 for the lowest one) is 23.2 kJ/mol of atoms. Its total energy is -5.6306 eV per atom.

***

Entry 5:
Here is an optimized crystal structure of ZrScPbBr from the Alexandria database. Energies are from PBE-GGA.

The structure belongs to space group Cm (No. 8); the cell edges are 10.332, 3.440 and 6.969 Å and the angles 90.00°, 128.00° and 90.00°. Symmetry generates all atoms from Zr at (0.000, 0.000, 0.000), Sc at (0.464, 0.000, 0.392), Pb at (0.254, 0.000, 0.550) and Br at (0.231, 0.500, 0.021).

The calculation puts the energy relative to the elements, uncorrected at -0.375 eV/atom. Its polymorph energy (0 for the lowest one) is 13.5 kJ/mol of atoms. Its total energy is -5.4399 eV per atom.

***

Entry 6:
Here is an optimized crystal structure of CdBI3 from the Alexandria database. Energies are from PBE-GGA.

The structure belongs to space group Pm-3m (No. 221); the cell edges are 5.195, 5.195 and 5.195 Å and the angles 90.00°, 90.00° and 90.00°. Symmetry generates all atoms from Cd at (0.000, 0.000, 0.000), B at (0.500, 0.500, 0.500) and I at (0.000, 0.500, 0.500).

The calculation puts the energy relative to the elements, uncorrected at 0.548 eV/atom. Its polymorph energy (0 for the lowest one) is 0.0 kJ/mol of atoms. Its total energy is -1.9009 eV per atom.

***

Entry 7:
Here is an optimized crystal structure of Ca2ReSe from the Alexandria database. Energies are from PBE-GGA.

The structure belongs to space group Amm2 (No. 38); the cell edges are 4.089, 4.394 and 10.912 Å and the angles 90.00°, 90.00° and 90.00°. Symmetry generates all atoms from Ca at (0.000, 0.000, 0.000), Ca at (0.500, 0.000, 0.289), Re at (0.000, 0.000, 0.708) and Se at (0.500, 0.000, 0.582).

The calculation puts the energy relative to the elements, uncorrected at -0.083 eV/atom. Its total energy is -5.0672 eV per atom.

***

Entry 8:
Here is an optimized crystal structure of MgTe from the Alexandria database. Energies are from PBE-GGA.

The structure belongs to space group Fddd (No. 70, origin choice 2); the cell edges are 9.511, 11.552 and 12.336 Å and the angles 90.00°, 90.00° and 90.00°. Symmetry generates all atoms from Mg at (0.125, 0.125, 0.267) and Te at (0.125, 0.318, 0.125).

The calculation puts the energy relative to the elements, uncorrected at -0.772 eV/atom. Its total energy is -3.1404 eV per atom.

***

Entry 9:
Here is an optimized crystal structure of EuGaCl3 from the Alexandria database. Energies are from PBE-GGA.

The structure belongs to space group Pm-3m (No. 221); the cell edges are 5.579, 5.579 and 5.579 Å and the angles 90.00°, 90.00° and 90.00°. Symmetry generates all atoms from Eu at (0.000, 0.000, 0.000), Ga at (0.500, 0.500, 0.500) and Cl at (0.000, 0.000, 0.500).

The calculation puts the energy relative to the elements, uncorrected at -1.548 eV/atom. Its total energy is -5.3159 eV per atom.

***

Entry 10:
Here is an optimized crystal structure of BeReTcOs from the Alexandria database. Energies are from PBE-GGA.

The structure belongs to space group F-43m (No. 216); the cell edges are 6.003, 6.003 and 6.003 Å and the angles 90.00°, 90.00° and 90.00°. Symmetry generates all atoms from Be at (0.000, 0.000, 0.000), Re at (0.000, 0.000, 0.500), Tc at (0.250, 0.250, 0.250) and Os at (0.250, 0.250, 0.750).

Its formation energy is 0.048 eV/atom. Its total energy is -9.3941 eV per atom.

***

Entry 11:
Here is an optimized crystal structure of Zr6TlIn2 from the Alexandria database. Energies are from PBE-GGA.

The structure belongs to space group P4_2/mnm (No. 136); the cell edges are 9.658, 9.658 and 4.424 Å and the angles 90.00°, 90.00° and 90.00°. Symmetry generates all atoms from Zr at (0.002, 0.333, 0.000), Zr at (0.157, 0.843, 0.500), Tl at (0.000, 0.000, 0.000) and In at (0.180, 0.180, 0.500).

Its formation energy is -0.175 eV/atom. Its polymorph energy (0 for the lowest one) is 0.0 kJ/mol of atoms. Its total energy is -6.7452 eV per atom.

***

Entry 12:
Here is an optimized crystal structure of NpCrSe4 from the Alexandria database. Energies are from PBE-GGA.

The structure belongs to space group P2_1/c (No. 14); the cell edges are 7.595, 6.044 and 7.284 Å and the angles 90.00°, 118.07° and 90.00°. Symmetry generates all atoms from Np at (0.000, 0.000, 0.000), Cr at (0.500, 0.000, 0.000), Se at (0.210, 0.250, 0.359) and Se at (0.339, 0.743, 0.157).

The calculation puts the energy relative to the elements, uncorrected at -0.629 eV/atom. Its total energy is -6.7124 eV per atom.

***

- The highest total energy belongs to which entry?
  CdBI3